1.
TaV2Co5 after structural relaxation, computed with PBE.

abc: 7.5955 7.5955 7.5955
angles: 152.20 152.20 39.72
Sites, in units of the cell vectors:
Ta1 0.0000 0.0000 0.0000
V1 0.2463 0.2463 0.0000
V2 0.7537 0.7537 0.0000
Co1 0.1279 0.6279 0.5000
Co2 0.3721 0.8721 0.5000
Co3 0.5000 0.5000 0.0000
Co4 0.6279 0.1279 0.5000
Co5 0.8721 0.3721 0.5000

Results
Symmetry = I4/mmm, No. 139
Crystal system = tetragonal

=====

2.
TaV2Co5 after structural relaxation, computed with PBE.

abc: 6.3528 6.3528 6.3528
angles: 156.39 104.75 80.16
Sites, in units of the cell vectors:
Ta1 0.0000 0.0000 0.0000
V1 0.2555 0.7555 0.5000
V2 0.7445 0.2445 0.5000
Co1 0.1364 0.3702 0.7662
Co2 0.3961 0.6298 0.7662
Co3 0.5000 0.0000 0.5000
Co4 0.6039 0.3702 0.2338
Co5 0.8636 0.6298 0.2338

Results
Symmetry = Immm, No. 71
Crystal system = orthorhombic

=====

Which structure is the most stable? The one labeled 1.

=====

1.
TaCo4W after structural relaxation, computed with PBE.

abc: 6.3312 6.3312 6.3312
angles: 139.53 101.87 91.92
Sites, in units of the cell vectors:
Ta1 0.3748 0.1248 0.2500
Ta2 0.6252 0.8752 0.7500
Co1 0.0469 0.1338 0.9131
Co2 0.2028 0.6186 0.5843
Co3 0.2794 0.8662 0.4131
Co4 0.4657 0.3814 0.0843
Co5 0.5343 0.6186 0.9157
Co6 0.7206 0.1338 0.5869
Co7 0.7972 0.3814 0.4157
Co8 0.9531 0.8662 0.0869
W1 0.1266 0.3766 0.7500
W2 0.8734 0.6234 0.2500

Results
Symmetry = Imma, No. 74
Crystal system = orthorhombic

=====

2.
TaCo4W after structural relaxation, computed with PBE.

abc: 4.7180 4.7180 4.7180
angles: 60.00 60.00 60.00
Sites, in units of the cell vectors:
Ta1 0.0000 0.0000 0.0000
Co1 0.3753 0.3753 0.3753
Co2 0.3753 0.3753 0.8742
Co3 0.3753 0.8742 0.3753
Co4 0.8742 0.3753 0.3753
W1 0.7500 0.7500 0.7500

Results
Symmetry = F-43m, No. 216
Crystal system = cubic

=====

Which structure is the most stable? The one labeled 2.

=====

1.
TaCo2W2 after structural relaxation, computed with PBE.

abc: 5.9526 5.9526 5.9526
angles: 143.10 143.10 53.18
Sites, in units of the cell vectors:
Ta1 0.0000 0.0000 0.0000
Co1 0.4009 0.4009 0.0000
Co2 0.5991 0.5991 0.0000
W1 0.2500 0.7500 0.5000
W2 0.7500 0.2500 0.5000

Results
Symmetry = I4/mmm, No. 139
Crystal system = tetragonal

=====

2.
TaCo2W2 after structural relaxation, computed with PBE.

abc: 6.6847 6.6847 6.6847
angles: 149.58 149.58 43.56
Sites, in units of the cell vectors:
Ta1 0.0000 0.0000 0.0000
Co1 0.2500 0.7500 0.5000
Co2 0.7500 0.2500 0.5000
W1 0.3898 0.3898 0.0000
W2 0.6102 0.6102 0.0000

Results
Symmetry = I4/mmm, No. 139
Crystal system = tetragonal

=====

Which structure is the most stable? The one labeled 1.

=====

1.
YTa2Co after structural relaxation, computed with PBE.

abc: 9.1262 9.1262 9.1262
angles: 19.81 19.81 19.81
Sites, in units of the cell vectors:
Y1 0.0000 0.0000 0.0000
Ta1 0.2335 0.2335 0.2335
Ta2 0.4815 0.4815 0.4815
Co1 0.7514 0.7514 0.7514

Results
Symmetry = R3m, No. 160
Crystal system = trigonal

=====

2.
YTa2Co after structural relaxation, computed with PBE.

abc: 3.1051 3.1051 7.8442
angles: 90.00 90.00 90.00
Sites, in units of the cell vectors:
Y1 0.0000 0.0000 0.0000
Ta1 0.0000 0.0000 0.4328
Ta2 0.5000 0.5000 0.6839
Co1 0.5000 0.5000 0.2724

Results
Symmetry = P4mm, No. 99
Crystal system = tetragonal

=====

3.
YTa2Co after structural relaxation, computed with PBE.

abc: 9.1905 9.1905 9.1905
angles: 19.60 19.60 19.60
Sites, in units of the cell vectors:
Y1 0.0000 0.0000 0.0000
Ta1 0.2329 0.2329 0.2329
Ta2 0.7671 0.7671 0.7671
Co1 0.5000 0.5000 0.5000

Results
Symmetry = R-3m, No. 166
Crystal system = trigonal

=====

4.
YTa2Co after structural relaxation, computed with PBE.

abc: 3.0851 4.7024 5.3018
angles: 90.00 103.05 90.00
Sites, in units of the cell vectors:
Y1 0.0000 0.0000 0.0000
Ta1 0.3043 0.5000 0.7260
Ta2 0.6957 0.5000 0.2740
Co1 0.5000 0.0000 0.5000

Results
Symmetry = P2/m, No. 10
Crystal system = monoclinic

=====

Which structure is the most stable? The one labeled 2.

=====

1.
YTa2Co after structural relaxation, computed with PBE.

abc: 9.1616 9.1616 9.1616
angles: 150.04 150.04 42.88
Sites, in units of the cell vectors:
Y1 0.0000 0.0000 0.0000
Y2 0.7500 0.2500 0.5000
Ta1 0.2914 0.6250 0.1664
Ta2 0.3750 0.5414 0.6664
Ta3 0.4586 0.1250 0.8336
Ta4 0.8750 0.7086 0.3336
Co1 0.2500 0.7500 0.5000
Co2 0.5000 0.5000 0.0000

Results
Symmetry = I-42d, No. 122
Crystal system = tetragonal

=====

2.
YTa2Co after structural relaxation, computed with PBE.

abc: 3.1149 3.1149 7.6883
angles: 90.00 90.00 90.00
Sites, in units of the cell vectors:
Y1 0.0000 0.0000 0.0000
Ta1 0.5000 0.5000 0.3096
Ta2 0.5000 0.5000 0.6904
Co1 0.0000 0.0000 0.5000

Results
Symmetry = P4/mmm, No. 123
Crystal system = tetragonal

=====

Which structure is the most stable? The one labeled 2.

=====

1.
YTa2Co after structural relaxation, computed with PBE.

abc: 5.5340 5.5340 2.8838
angles: 90.00 90.00 122.05
Sites, in units of the cell vectors:
Y1 0.0000 0.0000 0.0000
Ta1 0.0000 0.5000 0.5000
Ta2 0.5000 0.0000 0.5000
Co1 0.5000 0.5000 0.0000

Results
Symmetry = Cmmm, No. 65
Crystal system = orthorhombic

=====

2.
YTa2Co after structural relaxation, computed with PBE.

abc: 4.7005 4.7005 4.7005
angles: 119.95 119.95 90.08
Sites, in units of the cell vectors:
Y1 0.0000 0.0000 0.0000
Ta1 0.2500 0.7500 0.5000
Ta2 0.5000 0.5000 0.0000
Co1 0.7500 0.2500 0.5000

Results
Symmetry = I-4m2, No. 119
Crystal system = tetragonal

=====

3.
YTa2Co after structural relaxation, computed with PBE.

abc: 5.4205 5.4205 5.4463
angles: 117.19 117.19 32.92
Sites, in units of the cell vectors:
Y1 0.0000 0.0000 0.0000
Ta1 0.5933 0.5933 0.5723
Ta2 0.8103 0.8103 0.3584
Co1 0.2759 0.2759 0.9809

Results
Symmetry = Cm, No. 8
Crystal system = monoclinic

=====

4.
YTa2Co after structural relaxation, computed with PBE.

abc: 5.6255 5.6255 2.9603
angles: 99.58 99.58 122.89
Sites, in units of the cell vectors:
Y1 0.0000 0.0000 0.0000
Ta1 0.0000 0.5000 0.5000
Ta2 0.5000 0.0000 0.5000
Co1 0.5000 0.5000 0.0000

Results
Symmetry = C2/m, No. 12
Crystal system = monoclinic

=====

Which structure is the most stable? The one labeled 3.

=====

1.
YTa2Co after structural relaxation, computed with PBE.

abc: 4.6332 4.6332 4.6332
angles: 60.00 60.00 60.00
Sites, in units of the cell vectors:
Y1 0.0000 0.0000 0.0000
Ta1 0.2500 0.2500 0.2500
Ta2 0.7500 0.7500 0.7500
Co1 0.5000 0.5000 0.5000

Results
Symmetry = Fm-3m, No. 225
Crystal system = cubic

=====

2.
YTa2Co after structural relaxation, computed with PBE.

abc: 4.7934 4.7934 3.1534
angles: 90.00 90.00 90.00
Sites, in units of the cell vectors:
Y1 0.0000 0.0000 0.0000
Ta1 0.0000 0.5000 0.5000
Ta2 0.5000 0.0000 0.5000
Co1 0.5000 0.5000 0.0000

Results
Symmetry = P4/mmm, No. 123
Crystal system = tetragonal

=====

3.
YTa2Co after structural relaxation, computed with PBE.

abc: 3.8943 3.8943 4.9636
angles: 90.00 90.00 90.00
Sites, in units of the cell vectors:
Y1 0.0000 0.0000 0.0000
Ta1 0.0000 0.5000 0.5000
Ta2 0.5000 0.0000 0.5000
Co1 0.5000 0.5000 0.0000

Results
Symmetry = P4/mmm, No. 123
Crystal system = tetragonal

=====

Which structure is the most stable? The one labeled 3.

=====

1.
Y2TaCo after structural relaxation, computed with PBE.

abc: 5.8334 5.8334 5.8334
angles: 145.48 130.35 61.87
Sites, in units of the cell vectors:
Y1 0.2012 0.2012 0.0000
Y2 0.7988 0.7988 0.0000
Ta1 0.5000 0.0000 0.5000
Co1 0.0000 0.5000 0.5000

Results
Symmetry = Immm, No. 71
Crystal system = orthorhombic

=====

2.
Y2TaCo after structural relaxation, computed with PBE.

abc: 3.2319 3.2319 8.5499
angles: 90.00 90.00 90.00
Sites, in units of the cell vectors:
Y1 0.0000 0.0000 0.0000
Y2 0.5000 0.5000 0.3636
Ta1 0.5000 0.5000 0.7339
Co1 0.0000 0.0000 0.6006

Results
Symmetry = P4mm, No. 99
Crystal system = tetragonal

=====

Which structure is the most stable? The one labeled 2.

=====

1.
Y2TaCo after structural relaxation, computed with PBE.

abc: 4.8858 4.8858 4.8858
angles: 60.00 60.00 60.00
Sites, in units of the cell vectors:
Y1 0.0000 0.0000 0.0000
Y2 0.2500 0.2500 0.2500
Ta1 0.7500 0.7500 0.7500
Co1 0.5000 0.5000 0.5000

Results
Symmetry = F-43m, No. 216
Crystal system = cubic

=====

2.
Y2TaCo after structural relaxation, computed with PBE.

abc: 4.9905 4.9905 4.9905
angles: 60.00 60.00 60.00
Sites, in units of the cell vectors:
Y1 0.2500 0.2500 0.2500
Y2 0.7500 0.7500 0.7500
Ta1 0.0000 0.0000 0.0000
Co1 0.5000 0.5000 0.5000

Results
Symmetry = Fm-3m, No. 225
Crystal system = cubic

=====

Which structure is the most stable? The one labeled 2.

=====

1.
Y2TaCo after structural relaxation, computed with PBE.

abc: 5.8723 5.8723 5.8723
angles: 139.21 139.21 59.06
Sites, in units of the cell vectors:
Y1 0.0000 0.0000 0.0000
Y2 0.7500 0.2500 0.5000
Ta1 0.5000 0.5000 0.0000
Co1 0.2500 0.7500 0.5000

Results
Symmetry = I-4m2, No. 119
Crystal system = tetragonal

=====

2.
Y2TaCo after structural relaxation, computed with PBE.

abc: 3.5169 6.0132 6.0132
angles: 46.98 90.00 90.00
Sites, in units of the cell vectors:
Y1 0.0000 0.0000 0.0000
Y2 0.5000 0.2977 0.2977
Ta1 0.5000 0.6022 0.6022
Co1 0.0000 0.7405 0.7405

Results
Symmetry = Amm2, No. 38
Crystal system = orthorhombic

=====

Which structure is the most stable? The one labeled 2.

=====

1.
TaZnCo after structural relaxation, computed with PBE.

abc: 5.3064 5.3064 5.3064
angles: 147.70 147.70 46.33
Sites, in units of the cell vectors:
Ta1 0.0000 0.0000 0.0000
Zn1 0.3029 0.3029 0.0000
Co1 0.6534 0.6534 0.0000

Results
Symmetry = I4mm, No. 107
Crystal system = tetragonal

=====

2.
TaZnCo after structural relaxation, computed with PBE.

abc: 4.0717 4.0717 4.0717
angles: 60.00 60.00 60.00
Sites, in units of the cell vectors:
Ta1 0.0000 0.0000 0.0000
Zn1 0.5000 0.5000 0.5000
Co1 0.7500 0.7500 0.7500

Results
Symmetry = F-43m, No. 216
Crystal system = cubic

=====

3.
TaZnCo after structural relaxation, computed with PBE.

abc: 4.6732 4.6732 4.9679
angles: 90.00 90.00 128.83
Sites, in units of the cell vectors:
Ta1 0.2032 0.7968 0.7500
Ta2 0.7968 0.2032 0.2500
Zn1 0.5000 0.5000 0.0000
Zn2 0.5000 0.5000 0.5000
Co1 0.1131 0.8869 0.2500
Co2 0.8869 0.1131 0.7500

Results
Symmetry = Cmcm, No. 63
Crystal system = orthorhombic

=====

4.
TaZnCo after structural relaxation, computed with PBE.

abc: 4.1762 4.1762 4.1762
angles: 60.00 60.00 60.00
Sites, in units of the cell vectors:
Ta1 0.0000 0.0000 0.0000
Zn1 0.2500 0.2500 0.2500
Co1 0.7500 0.7500 0.7500

Results
Symmetry = F-43m, No. 216
Crystal system = cubic

=====

Which structure is the most stable? The one labeled 3.